[1]
First-principles (PBE-GGA) data for a relaxed structure of LiZr2Pd9, as listed in Alexandria.

Output
- DFT formation energy: -633 meV/atom
- Total magnetic moment: 0.00 μB per atom
- Uncorrected energy: -73.34 eV/cell

a = 4.0181 Å, b = 4.0181 Å, c = 11.8538 Å
α = 90.00°, β = 90.00°, γ = 90.00°
Closest atoms and distances in Å follow each position.
Sites, in units of the cell vectors:
Li 0.0000 0.0000 0.0000  12 Pd 2.78-2.84
Zr 0.0000 0.0000 0.3251  12 Pd 2.78-2.89
Zr 0.0000 0.0000 0.6749  12 Pd 2.78-2.89
Pd 0.5000 0.5000 0.0000  8 Pd 2.78, 4 Li 2.84
Pd 0.5000 0.5000 0.3326  8 Pd 2.82-2.85, 4 Zr 2.84
Pd 0.5000 0.5000 0.6674  8 Pd 2.82-2.85, 4 Zr 2.84
Pd 0.5000 0.0000 0.1625  8 Pd 2.78-2.85, 2 Li 2.78, 2 Zr 2.78
Pd 0.5000 0.0000 0.5000  8 Pd 2.82-2.84, 4 Zr 2.89
Pd 0.5000 0.0000 0.8375  8 Pd 2.78-2.85, 2 Li 2.78, 2 Zr 2.78
Pd 0.0000 0.5000 0.1625  8 Pd 2.78-2.85, 2 Li 2.78, 2 Zr 2.78
Pd 0.0000 0.5000 0.5000  8 Pd 2.82-2.84, 4 Zr 2.89
Pd 0.0000 0.5000 0.8375  8 Pd 2.78-2.85, 2 Li 2.78, 2 Zr 2.78


[2]
First-principles (PBE-GGA) data for a relaxed structure of Mg3HgBr, as listed in Alexandria.

Output
- Energy above the lowest structure with this stoichiometry: 0.00 kcal/mol of atoms
- Formation energy from raw total energies: -156.9 meV/atom
- Total magnetic moment: 0.00 μB per atom
- Uncorrected energy: -7.54 eV/cell

a = 5.3308 Å, b = 5.3308 Å, c = 5.3308 Å
α = 90.00°, β = 90.00°, γ = 90.00°
Closest atoms and distances in Å follow each position.
Sites, in units of the cell vectors:
Mg 0.0000 0.5000 0.0000  2 Hg 2.67
Mg 0.0000 0.0000 0.5000  2 Hg 2.67
Mg 0.5000 0.0000 0.0000  2 Hg 2.67
Hg 0.0000 0.0000 0.0000  6 Mg 2.67
Br 0.5000 0.5000 0.5000  12 Mg 3.77


The lowest uncorrected energy belongs to which entry? LiZr2Pd9


Number 2 is which compound? Mg3HgBr